Compound: SrAcMn2O5
Source: Alexandria via LeMat-Bulk
Functional: GGA+U
Structure: relaxed

a b c (Å): 4.0441 4.0441 8.0299
angles (deg): 90.00 90.00 90.00
Each line ends with the local moment (μB).
Positions (direct):
Sr  0.0000  0.0000  0.5000  0.00
Ac  0.0000  0.0000  0.0000  0.03
Mn  0.5000  0.5000  0.2495  4.25
Mn  0.5000  0.5000  0.7505  4.25
O  0.0000  0.5000  0.2040  -0.02
O  0.5000  0.0000  0.2040  -0.02
O  0.0000  0.5000  0.7960  -0.02
O  0.5000  0.0000  0.7960  -0.02
O  0.5000  0.5000  0.5000  0.11

Calculated values
crystal system: tetragonal
E_tot: -7.401 eV per atom
total moment: 9.0 μB per formula unit